Record 1
Sm8YTl6: optimized geometry, PBE.

As for the crystal system: trigonal. The density of states at the Fermi level is 70.47 states/eV per cell. The calculation puts the formation energy from the elements at -2.392 eV/f.u.

The structure belongs to space group R-3 (No. 148, hexagonal axes); the cell edges are 9.2635, 9.2635 and 19.7553 Å and the angles 90.00°, 90.00° and 120.00°. The distinct sites, in fractional coordinates, are Sm at (0.0000, 0.0000, 0.1657), Sm at (0.0009, 0.6653, 0.3897), Y at (0.0000, 0.0000, 0.5000) and Tl at (0.0000, 0.3291, 0.4394).

=====

Record 2
Sm7YTl2: optimized geometry, PBE.

As for the crystal system: orthorhombic. The density of states at the Fermi level is 41.83 states/eV per cell. The calculation puts the formation energy from the elements at 3.437 eV/f.u.

The structure belongs to space group Cmmm (No. 65); the cell edges are 9.321, 16.000 and 5.356 Å and the angles 90.00°, 90.00° and 90.00°. The distinct sites, in fractional coordinates, are Sm at (0.000, 0.000, 0.000), Sm at (0.000, 0.276, 0.500), Sm at (0.182, 0.380, 0.000), Y at (0.000, 0.500, 0.500) and Tl at (0.000, 0.193, 0.000).

=====

Record 3
Sm8Y2Tl: optimized geometry, PBE.

As for the energy above the most stable polymorph in this dataset: 0.000 eV/atom. As for the crystal system: monoclinic. The density of states at the Fermi level is 30.22 states/eV per cell. The calculation puts the formation energy from the elements at -0.440 eV/f.u.

The structure belongs to space group C2/m (No. 12); the cell edges are 18.270, 5.029 and 8.048 Å and the angles 90.00°, 105.63° and 90.00°. The distinct sites, in fractional coordinates, are Sm at (0.045, 0.000, 0.224), Sm at (0.090, 0.500, 0.942), Sm at (0.136, 0.000, 0.678), Sm at (0.180, 0.500, 0.409), Y at (0.224, 0.000, 0.134) and Tl at (0.000, 0.500, 0.500).

=====

Record 4
Sm6YTl4: optimized geometry, PBE.

As for the crystal system: tetragonal. The density of states at the Fermi level is 19.99 states/eV per cell. The calculation puts the formation energy from the elements at -1.730 eV/f.u.

The structure belongs to space group I-42m (No. 121); the cell edges are 6.522, 6.522 and 16.908 Å and the angles 90.00°, 90.00° and 90.00°. The distinct sites, in fractional coordinates, are Sm at (0.000, 0.500, 0.000), Sm at (0.236, 0.236, 0.321), Y at (0.000, 0.000, 0.000) and Tl at (0.243, 0.243, 0.134).